# Sm6Co2Ir, optimized geometry, DFT PBE
data_Sm6Co2Ir
_chemical_formula_sum 'Sm24 Co8 Ir4'
_symmetry_space_group_name_H-M 'I m m m'
_symmetry_Int_Tables_number 71
_symmetry_space_group_name_Hall '-I 2 2'
_cell_length_a 9.534
_cell_length_b 9.577
_cell_length_c 9.747
_cell_angle_alpha 90.00
_cell_angle_beta 90.00
_cell_angle_gamma 90.00
loop_
_atom_site_label
_atom_site_type_symbol
_atom_site_fract_x
_atom_site_fract_y
_atom_site_fract_z
Sm1 Sm 0.000 0.184 0.173
Sm2 Sm 0.176 0.235 0.500
Sm3 Sm 0.183 0.500 0.245
Co1 Co 0.000 0.000 0.387
Co2 Co 0.169 0.000 0.000
Ir1 Ir 0.000 0.500 0.000
Ir2 Ir 0.000 0.500 0.500
# Crystal system: orthorhombic
# Raw total energy in eV/atom: -5.951
# Formation energy in eV/atom: -0.24

***

# LiPr6Mg, optimized geometry, DFT PBE
data_LiPr6Mg
_chemical_formula_sum 'Li2 Pr12 Mg2'
_symmetry_space_group_name_H-M 'I 4/m m m'
_symmetry_Int_Tables_number 139
_symmetry_space_group_name_Hall '-I 4 2'
_cell_length_a 5.318
_cell_length_b 5.318
_cell_length_c 18.628
_cell_angle_alpha 90.00
_cell_angle_beta 90.00
_cell_angle_gamma 90.00
loop_
_atom_site_label
_atom_site_type_symbol
_atom_site_fract_x
_atom_site_fract_y
_atom_site_fract_z
Li1 Li 0.000 0.000 0.000
Pr1 Pr 0.000 0.000 0.250
Pr2 Pr 0.000 0.500 0.112
Mg1 Mg 0.000 0.000 0.500
# Crystal system: tetragonal
# Raw total energy in eV/atom: -4.016
# Polymorph energy (0 for the lowest one) in meV per atom: 0.0
# Formation energy in eV/atom: 0.01

***

# K2MnMo, optimized geometry, DFT PBE
data_K2MnMo
_chemical_formula_sum 'K2 Mn1 Mo1'
_symmetry_space_group_name_H-M 'P 4/m m m'
_symmetry_Int_Tables_number 123
_symmetry_space_group_name_Hall '-P 4 2'
_cell_length_a 6.447
_cell_length_b 6.447
_cell_length_c 3.444
_cell_angle_alpha 90.00
_cell_angle_beta 90.00
_cell_angle_gamma 90.00
loop_
_atom_site_label
_atom_site_type_symbol
_atom_site_fract_x
_atom_site_fract_y
_atom_site_fract_z
K1 K 0.000 0.500 0.000
Mn1 Mn 0.000 0.000 0.500
Mo1 Mo 0.500 0.500 0.500
# Crystal system: tetragonal
# Raw total energy in eV/atom: -3.831
# Polymorph energy (0 for the lowest one) in meV per atom: 909.8
# Formation energy in eV/atom: 1.72

***

# TeP3C, optimized geometry, DFT PBE
data_TeP3C
_chemical_formula_sum 'Te1 P3 C1'
_symmetry_space_group_name_H-M 'P m -3 m'
_symmetry_Int_Tables_number 221
_symmetry_space_group_name_Hall '-P 4 2 3'
_cell_length_a 5.129
_cell_length_b 5.129
_cell_length_c 5.129
_cell_angle_alpha 90.00
_cell_angle_beta 90.00
_cell_angle_gamma 90.00
loop_
_atom_site_label
_atom_site_type_symbol
_atom_site_fract_x
_atom_site_fract_y
_atom_site_fract_z
Te1 Te 0.000 0.000 0.000
P1 P 0.000 0.000 0.500
C1 C 0.500 0.500 0.500
# Crystal system: cubic
# Raw total energy in eV/atom: -3.024
# Polymorph energy (0 for the lowest one) in meV per atom: 1544.2
# Raw formation energy in meV per atom: 2695

***

# SmErInIr, optimized geometry, DFT PBE
data_SmErInIr
_chemical_formula_sum 'Sm4 Er4 In4 Ir4'
_symmetry_space_group_name_H-M 'F -4 3 m'
_symmetry_Int_Tables_number 216
_symmetry_space_group_name_Hall 'F -4 2 3'
_cell_length_a 7.225
_cell_length_b 7.225
_cell_length_c 7.225
_cell_angle_alpha 90.00
_cell_angle_beta 90.00
_cell_angle_gamma 90.00
loop_
_atom_site_label
_atom_site_type_symbol
_atom_site_fract_x
_atom_site_fract_y
_atom_site_fract_z
Sm1 Sm 0.000 0.000 0.000
Er1 Er 0.000 0.000 0.500
In1 In 0.250 0.250 0.750
Ir1 Ir 0.250 0.250 0.250
# Crystal system: cubic
# Raw total energy in eV/atom: -5.733
# Formation energy in eV/atom: -0.51

***

# CaLaGa, optimized geometry, DFT PBE
data_CaLaGa
_chemical_formula_sum 'Ca2 La2 Ga2'
_symmetry_space_group_name_H-M 'I 4 m m'
_symmetry_Int_Tables_number 107
_symmetry_space_group_name_Hall 'I 4 -2'
_cell_length_a 3.665
_cell_length_b 3.665
_cell_length_c 13.926
_cell_angle_alpha 90.00
_cell_angle_beta 90.00
_cell_angle_gamma 90.00
loop_
_atom_site_label
_atom_site_type_symbol
_atom_site_fract_x
_atom_site_fract_y
_atom_site_fract_z
Ca1 Ca 0.000 0.000 0.000
La1 La 0.000 0.000 0.733
Ga1 Ga 0.000 0.000 0.364
# Crystal system: tetragonal
# Raw total energy in eV/atom: -3.655
# Polymorph energy (0 for the lowest one) in meV per atom: 107.7
# Formation energy in eV/atom: -0.34

***

What is the raw total energy in the fifth record? -5.733 eV/atom

***

What did the second record say?
# LiPr6Mg, optimized geometry, DFT PBE
data_LiPr6Mg
_chemical_formula_sum 'Li2 Pr12 Mg2'
_symmetry_space_group_name_H-M 'I 4/m m m'
_symmetry_Int_Tables_number 139
_symmetry_space_group_name_Hall '-I 4 2'
_cell_length_a 5.318
_cell_length_b 5.318
_cell_length_c 18.628
_cell_angle_alpha 90.00
_cell_angle_beta 90.00
_cell_angle_gamma 90.00
loop_
_atom_site_label
_atom_site_type_symbol
_atom_site_fract_x
_atom_site_fract_y
_atom_site_fract_z
Li1 Li 0.000 0.000 0.000
Pr1 Pr 0.000 0.000 0.250
Pr2 Pr 0.000 0.500 0.112
Mg1 Mg 0.000 0.000 0.500
# Crystal system: tetragonal
# Raw total energy in eV/atom: -4.016
# Polymorph energy (0 for the lowest one) in meV per atom: 0.0
# Formation energy in eV/atom: 0.01

***

What is the formula in the second record? LiPr6Mg